{"formula": "NaLa2Al", "functional": "PBE", "state": "relaxed", "magnetic_moment_mub_per_cell": 0.00, "total_energy_ev_per_cell": -14.703, "lattice": [[1.836, 1.060, 12.076], [-1.836, 1.060, 12.076], [0.000, -2.120, 12.076]], "species": ["Na", "La", "La", "Al"], "fractional_positions": [[0.000, 0.000, 0.000], [0.103, 0.103, 0.103], [0.897, 0.897, 0.897], [0.500, 0.500, 0.500]]}